Entry 1:
Computed, not measured: a geometry-optimized FeMo3H4 structure at the PBE level of DFT.

magnetic moment	0.111	μB/atom
E	-6.76	eV per atom

Cell: 4.0414 4.0414 4.0414 Å, 90.00 90.00 90.00°
Closest atoms and distances in Å follow each position.
Space group Pm-3m (No. 221)
Symmetry-distinct sites (fractional):
1 Fe 0.0000 0.0000 0.0000 x1  6 H 2.02
2 Mo 0.0000 0.5000 0.5000 x3  6 H 2.02
3 H 0.0000 0.0000 0.5000 x3  4 Mo 2.02, 2 Fe 2.02
4 H 0.5000 0.5000 0.5000 x1  6 Mo 2.02


Entry 2:
Computed, not measured: a geometry-optimized SmSi2TcRu structure at the PBE level of DFT.

formation energy from raw total energies	-743	meV/atom
magnetic moment	0.000	μB/atom

Cell: 4.2329 4.2329 9.7513 Å, 90.00 90.00 90.00°
Closest atoms and distances in Å follow each position.
Space group I-4m2 (No. 119)
Symmetry-distinct sites (fractional):
1 Sm 0.0000 0.0000 0.0000 x2  4 Tc 3.23, 4 Ru 3.23, 10 Si 3.26-3.58
2 Si 0.0000 0.0000 0.3674 x4  2 Tc 2.41, 2 Ru 2.41, 1 Si 2.59
3 Tc 0.0000 0.5000 0.2500 x2  4 Si 2.41
4 Ru 0.0000 0.5000 0.7500 x2  4 Si 2.41


Entry 3:
Computed, not measured: a geometry-optimized Sn2Sb2Br structure at the PBE level of DFT.

formation energy from raw total energies	-72	meV/atom
magnetic moment	0.000	μB/atom

Cell: 4.8942 4.8942 13.5712 Å, 90.00 90.00 90.00°
Closest atoms and distances in Å follow each position.
Space group I4/mmm (No. 139)
Symmetry-distinct sites (fractional):
1 Sn 0.0000 0.5000 0.2500 x4  4 Sb 3.01
2 Sb 0.0000 0.0000 0.1206 x4  4 Sn 3.01, 1 Sb 3.27
3 Br 0.0000 0.0000 0.5000 x2  8 Sb 3.83, 8 Sn 4.18


Entry 4:
Computed, not measured: a geometry-optimized TbMg2Pb structure at the PBE level of DFT.

energy of formation	-0.10	eV per atom
magnetic moment	0.069	μB/atom

Cell: 3.5750 3.5750 8.3868 Å, 90.00 90.00 90.00°
Closest atoms and distances in Å follow each position.
Space group P4/mmm (No. 123)
Symmetry-distinct sites (fractional):
1 Tb 0.0000 0.0000 0.0000 x1  8 Mg 3.36, 4 Tb 3.57
2 Mg 0.5000 0.5000 0.2639 x2  4 Pb 3.21, 4 Tb 3.36, 4 Mg 3.57
3 Pb 0.0000 0.0000 0.5000 x1  8 Mg 3.21, 4 Pb 3.57


Entry 5:
Computed, not measured: a geometry-optimized NaLaSn2O6 structure at the PBE level of DFT.

formation energy from raw total energies	-1992	meV/atom
magnetic moment	0.000	μB/atom

Cell: 8.1444 8.1444 8.1444 Å, 90.00 90.00 90.00°
Closest atoms and distances in Å follow each position.
Space group Fm-3m (No. 225)
Symmetry-distinct sites (fractional):
1 Na 0.0000 0.0000 0.0000 x4  12 O 2.88
2 La 0.0000 0.0000 0.5000 x4  12 O 2.88
3 Sn 0.2500 0.2500 0.2500 x8  6 O 2.04
4 O 0.0000 0.2500 0.2500 x24  2 Sn 2.04